[1]
NpAl2Ga2Cu2 | GGA-PBE | relaxed

total moment: 4.22 μB per formula unit
total energy: -5.028 eV/atom
symmetry: R-3m
formation enthalpy at 0 K: -75 meV per atom

Cell lengths 8.170, 8.170, 8.170 Å; angles 29.91, 29.91, 29.91 degrees
Sites, in units of the cell vectors:
Np (0.000, 0.000, 0.000)
Al (0.136, 0.136, 0.136)
Al (0.864, 0.864, 0.864)
Ga (0.258, 0.258, 0.258)
Ga (0.742, 0.742, 0.742)
Cu (0.438, 0.438, 0.438)
Cu (0.562, 0.562, 0.562)

***

[2]
NpAl2GaCu4 | GGA-PBE | relaxed

total moment: 4.20 μB per formula unit
total energy: -5.005 eV/atom
symmetry: R-3m
formation enthalpy at 0 K: -25 meV per atom

Cell lengths 8.877, 8.877, 8.877 Å; angles 27.02, 27.02, 27.02 degrees
Sites, in units of the cell vectors:
Np (0.000, 0.000, 0.000)
Al (0.246, 0.246, 0.246)
Al (0.754, 0.754, 0.754)
Ga (0.500, 0.500, 0.500)
Cu (0.129, 0.129, 0.129)
Cu (0.403, 0.403, 0.403)
Cu (0.597, 0.597, 0.597)
Cu (0.871, 0.871, 0.871)

***

[3]
NpAlGa4Cu2 | GGA-PBE | relaxed

total moment: 4.13 μB per formula unit
total energy: -4.601 eV/atom
symmetry: R-3m
formation enthalpy at 0 K: 21 meV per atom

Cell lengths 9.010, 9.010, 9.010 Å; angles 27.75, 27.75, 27.75 degrees
Sites, in units of the cell vectors:
Np (0.000, 0.000, 0.000)
Al (0.500, 0.500, 0.500)
Ga (0.124, 0.124, 0.124)
Ga (0.396, 0.396, 0.396)
Ga (0.604, 0.604, 0.604)
Ga (0.876, 0.876, 0.876)
Cu (0.247, 0.247, 0.247)
Cu (0.753, 0.753, 0.753)